No. 1
Compound: NaSn2O4
Source: Alexandria via LeMat-Bulk
Functional: GGA-PBEsol
Structure: relaxed Values from VASP.

Geometry as Quantum ESPRESSO input:
```
&SYSTEM
  ibrav = 0, nat = 14, ntyp = 3
/
ATOMIC_SPECIES
Sn 118.71 Sn.upf
O 16.00 O.upf
Na 22.99 Na.upf
CELL_PARAMETERS angstrom
-4.041 3.230 -4.104
-6.543 -0.661 0.608
-3.635 5.041 2.233
ATOMIC_POSITIONS angstrom
Sn -8.887 4.756 -0.789
Sn -5.615 5.087 -1.093
Sn -7.069 2.236 -1.906
Sn -6.866 3.141 1.263
O -10.457 5.142 0.665
O -7.316 4.370 -2.243
O -12.177 6.517 -1.081
O -8.381 2.714 -0.238
O -5.597 2.995 -0.497
O -9.393 6.798 -1.340
O -10.630 4.372 -2.031
O -7.144 5.140 0.453
Na 0.000 0.000 0.000
Na -3.555 1.902 -0.316
```

## Properties
The formation energy (no corrections) comes out at -1.5585 eV/atom. The value obtained for the electronic total energy is -5.98 eV/atom. Its space group is Fd-3m. For the total magnetization, the calculation gives 0.000 μB/cell.

---

No. 2
Compound: Na2Sn4O9
Source: Alexandria via LeMat-Bulk
Functional: GGA-PBEsol
Structure: relaxed Values from VASP.

Geometry as Quantum ESPRESSO input:
```
&SYSTEM
  ibrav = 0, nat = 30, ntyp = 3
/
ATOMIC_SPECIES
Na 22.99 Na.upf
Sn 118.71 Sn.upf
O 16.00 O.upf
CELL_PARAMETERS angstrom
5.446 0.000 0.000
-2.723 4.716 0.000
0.000 0.000 14.543
ATOMIC_POSITIONS angstrom
Na 0.000 0.000 5.124
Na 0.000 0.000 9.420
Na 0.000 0.000 2.148
Na 0.000 0.000 12.396
Sn 0.000 3.144 7.630
Sn 2.723 1.572 14.185
Sn 0.000 3.144 4.540
Sn 0.000 3.144 11.811
Sn 2.723 1.572 2.732
Sn 2.723 1.572 6.913
Sn 0.000 3.144 0.359
Sn 2.723 1.572 10.004
O -1.526 3.026 13.385
O 3.606 0.000 3.636
O 3.588 2.835 8.430
O -0.661 4.525 6.113
O 0.920 1.593 3.636
O 1.197 1.690 8.430
O -1.803 3.123 3.636
O 0.865 1.881 13.385
O 1.839 0.000 10.908
O -0.865 1.881 6.113
O 2.062 0.191 1.159
O 1.803 3.123 10.908
O 1.858 2.835 1.159
O 3.384 0.191 8.430
O 0.661 4.525 13.385
O 4.249 1.690 1.159
O 1.526 3.026 6.113
O -0.920 1.593 10.908
```

## Properties
The formation energy (no corrections) comes out at -1.6615 eV/atom. The value obtained for the electronic total energy is -6.13 eV/atom. Its space group is P-3c1. For the total magnetization, the calculation gives 0.000 μB/cell.

---

No. 3
Compound: Na2SnO3
Source: Alexandria via LeMat-Bulk
Functional: GGA-PBEsol
Structure: relaxed Values from VASP.

Geometry as Quantum ESPRESSO input:
```
&SYSTEM
  ibrav = 0, nat = 24, ntyp = 3
/
ATOMIC_SPECIES
O 16.00 O.upf
Na 22.99 Na.upf
Sn 118.71 Sn.upf
CELL_PARAMETERS angstrom
-3.655 0.701 4.102
2.549 -4.876 -0.634
8.133 3.384 6.670
ATOMIC_POSITIONS angstrom
O -1.451 0.800 3.295
O 8.214 1.231 5.732
O 2.801 -0.203 3.908
O 5.929 3.285 7.477
O 4.226 -0.589 6.229
O 4.819 -1.746 2.230
O 6.576 0.389 8.156
O 5.863 0.253 3.805
O 2.468 -2.723 0.303
O 0.899 1.778 5.222
O 3.578 2.307 5.549
O 0.451 -1.181 1.981
Na 1.282 -1.990 4.022
Na 7.831 -0.774 4.571
Na 0.000 0.000 0.000
Na 2.851 -0.718 1.464
Na 3.617 3.014 7.788
Na 5.745 1.198 6.114
Na 4.067 1.692 3.335
Na 0.861 1.071 2.983
Sn -1.587 -1.158 2.523
Sn 0.481 -3.017 0.944
Sn 4.547 -1.325 4.279
Sn 2.479 0.534 5.858
```

## Properties
The formation energy (no corrections) comes out at -1.7357 eV/atom. The value obtained for the electronic total energy is -5.54 eV/atom. Its space group is P6_3/mcm. For the total magnetization, the calculation gives 0.001 μB/cell.

---

Short version: calculated volume = 203.7; 373.5; 293.5 Å³ per cell, in the order given.